Density functional theory data (PBE) for crystalline U2Pt9Pb at its relaxed geometry.

Cell lengths 4.1571, 4.1571, 12.4399 Å; angles 90.00, 90.00, 90.00 degrees
Fractional positions:
U 0.0000 0.0000 0.1675
U 0.0000 0.0000 0.8325
Pt 0.0000 0.5000 0.0000
Pt 0.0000 0.5000 0.3282
Pt 0.0000 0.5000 0.6718
Pt 0.5000 0.0000 0.0000
Pt 0.5000 0.0000 0.3282
Pt 0.5000 0.0000 0.6718
Pt 0.5000 0.5000 0.1668
Pt 0.5000 0.5000 0.5000
Pt 0.5000 0.5000 0.8332
Pb 0.0000 0.0000 0.5000

Properties
Formation energy (meV/atom): -527
Calculated volume (Å³/cell): 214.98
VASP energy (eV per atom): -7.248
Fermi-level density of states (states/eV/f.u.): 15.06


Density functional theory data (PBE) for crystalline CuAgAu3 at its relaxed geometry.

Cell lengths 5.8687, 5.8687, 5.7228 Å; angles 105.39, 105.39, 89.79 degrees
Fractional positions:
Cu 0.2391 0.2391 0.4984
Cu 0.7609 0.7609 0.5016
Ag 0.4273 0.4273 0.2047
Ag 0.5727 0.5727 0.7953
Au 0.0752 0.5722 0.7921
Au 0.0831 0.0831 0.8182
Au 0.4278 0.9248 0.2079
Au 0.5722 0.0752 0.7921
Au 0.9169 0.9169 0.1818
Au 0.9248 0.4278 0.2079

Properties
Formation energy (meV/atom): 79
Calculated volume (Å³/cell): 182.74
VASP energy (eV per atom): -3.277
Fermi-level density of states (states/eV/f.u.): 1.50
ΔE to the lowest computed polymorph (eV/atom): 0.0483


Density functional theory data (PBE) for crystalline La6Se3SN2 at its relaxed geometry.

Cell lengths 6.9842, 6.9842, 7.3086 Å; angles 99.20, 99.20, 119.95 degrees
Fractional positions:
La 0.0753 0.4299 0.7890
La 0.2147 0.2147 0.2076
La 0.4299 0.0753 0.7890
La 0.5701 0.9247 0.2110
La 0.7853 0.7853 0.7924
La 0.9247 0.5701 0.2110
Se 0.0000 0.0000 0.5000
Se 0.3400 0.6600 0.5000
Se 0.6600 0.3400 0.5000
S 0.5000 0.5000 0.0000
N 0.1676 0.8324 0.0000
N 0.8324 0.1676 0.0000

Properties
Calculated volume (Å³/cell): 292.70
VASP energy (eV per atom): -6.853
Energy relative to the elements, uncorrected (meV per atom): -1786
Fermi-level density of states (states/eV/f.u.): 5.44


Density functional theory data (PBE) for crystalline TbDySc2Bi4 at its relaxed geometry.

Cell lengths 7.5755, 4.3791, 7.5858 Å; angles 90.00, 109.48, 90.00 degrees
Fractional positions:
Tb 0.0000 0.0000 0.0000
Dy 0.0000 0.5000 0.5000
Sc 0.5000 0.0000 0.5000
Sc 0.5000 0.5000 0.0000
Bi 0.2649 0.0000 0.7544
Bi 0.2654 0.5000 0.2556
Bi 0.7351 0.0000 0.2456
Bi 0.7346 0.5000 0.7444

Properties
Formation energy (meV/atom): -760
Calculated volume (Å³/cell): 237.25
VASP energy (eV per atom): -5.437
Fermi-level density of states (states/eV/f.u.): 1.49


Density functional theory data (PBE) for crystalline SnBP at its relaxed geometry.

Cell lengths 3.2376, 3.2376, 14.3667 Å; angles 91.80, 91.80, 60.01 degrees
Fractional positions:
Sn 0.1725 0.1725 0.0946
Sn 0.8275 0.8275 0.9054
B 0.2339 0.2339 0.3409
B 0.7661 0.7661 0.6591
P 0.0991 0.0991 0.6572
P 0.9009 0.9009 0.3428

Properties
Formation energy (meV/atom): 45
Calculated volume (Å³/cell): 130.35
VASP energy (eV per atom): -5.319
Fermi-level density of states (states/eV/f.u.): 0.55


Density functional theory data (PBE) for crystalline Ho6SnHg2 at its relaxed geometry.

Cell lengths 8.8040, 8.8040, 8.8040 Å; angles 115.15, 112.61, 100.99 degrees
Fractional positions:
Ho 0.0380 0.2340 0.8040
Ho 0.1893 0.2884 0.4776
Ho 0.1893 0.7116 0.9009
Ho 0.3266 0.0299 0.7032
Ho 0.3266 0.6234 0.2968
Ho 0.4300 0.2340 0.1960
Ho 0.5700 0.7660 0.8040
Ho 0.6734 0.3766 0.7032
Ho 0.6734 0.9701 0.2968
Ho 0.8107 0.2884 0.0991
Ho 0.8107 0.7116 0.5224
Ho 0.9620 0.7660 0.1960
Sn 0.0000 0.0000 0.0000
Sn 0.5000 0.5000 0.0000
Hg 0.1300 0.6300 0.5000
Hg 0.3414 0.0000 0.3414
Hg 0.6586 0.0000 0.6586
Hg 0.8700 0.3700 0.5000

Properties
Formation energy (meV/atom): -338
Calculated volume (Å³/cell): 516.56
VASP energy (eV per atom): -3.901
Fermi-level density of states (states/eV/f.u.): 8.97


Density functional theory data (PBE) for crystalline TmThAs2Rh5 at its relaxed geometry.

Cell lengths 4.0080, 4.0080, 11.6290 Å; angles 90.00, 90.00, 90.00 degrees
Fractional positions:
Tm 0.0000 0.0000 0.0000
Th 0.5000 0.5000 0.5000
As 0.5000 0.5000 0.2039
As 0.5000 0.5000 0.7961
Rh 0.0000 0.5000 0.3210
Rh 0.0000 0.5000 0.6790
Rh 0.5000 0.0000 0.3210
Rh 0.5000 0.0000 0.6790
Rh 0.5000 0.5000 0.0000

Properties
Formation energy (meV/atom): -470
Calculated volume (Å³/cell): 186.81
VASP energy (eV per atom): -6.908
Fermi-level density of states (states/eV/f.u.): 6.24


Density functional theory data (PBE) for crystalline SrPaAu2O6 at its relaxed geometry.

Cell lengths 6.5777, 6.5777, 6.5777 Å; angles 53.00, 53.00, 53.00 degrees
Fractional positions:
Sr 0.0000 0.0000 0.0000
Pa 0.5000 0.5000 0.5000
Au 0.2399 0.2399 0.2399
Au 0.7601 0.7601 0.7601
O 0.1251 0.4212 0.7271
O 0.2729 0.8749 0.5788
O 0.4212 0.7271 0.1251
O 0.5788 0.2729 0.8749
O 0.7271 0.1251 0.4212
O 0.8749 0.5788 0.2729

Properties
Calculated volume (Å³/cell): 168.23
VASP energy (eV per atom): -6.365
Energy relative to the elements, uncorrected (meV per atom): -1617
Fermi-level density of states (states/eV/f.u.): 8.82